*a*
This record from the Alexandria database describes an optimized crystal structure of Ta5NbRu4. The functional is PBE-GGA.

Cell: 3.226 3.226 15.792 Å, 90.00 90.00 90.00°
Space group P4/mmm (No. 123)
Symmetry-distinct sites (fractional):
Ta: 0.000 0.000 0.000 [1 per cell]
Ta: 0.000 0.000 0.196 [2 per cell]
Ta: 0.000 0.000 0.397 [2 per cell]
Nb: 0.500 0.500 0.500 [1 per cell]
Ru: 0.500 0.500 0.098 [2 per cell]
Ru: 0.500 0.500 0.291 [2 per cell]

Results
As for the magnetic moment: 0.000 μB per formula unit.

=====

*b*
This record from the Alexandria database describes an optimized crystal structure of Ta5NbRu4. The functional is PBE-GGA.

Cell: 13.678 4.516 5.510 Å, 90.00 105.86 90.00°
Space group C2/m (No. 12)
Symmetry-distinct sites (fractional):
Ta: 0.000 0.000 0.000 [2 per cell]
Ta: 0.099 0.500 0.898 [4 per cell]
Ta: 0.200 0.000 0.298 [4 per cell]
Nb: 0.000 0.000 0.500 [2 per cell]
Ru: 0.105 0.500 0.410 [4 per cell]
Ru: 0.204 0.000 0.803 [4 per cell]

Results
As for the magnetic moment: 0.000 μB per formula unit.

=====

What is the stability order? It is *b*, *a*, from most stable to least stable.